one.
Ta2ZnCd | meta-GGA SCAN | PBEsol geometry

Values from the calculation:
Calculated volume ... 17.14 A^3/atom

Lattice parameters (Å, degrees): 3.9669 3.9669 5.1818 112.51 112.51 90.00
Closest atoms and distances in Å follow each position.
Sites, in units of the cell vectors:
1 Ta 0.7500 0.2500 0.5000  4 Cd 2.81, 4 Zn 2.95, 4 Ta 2.95
2 Cd 0.2500 0.7500 0.5000  8 Ta 2.81-2.95, 4 Zn 2.95
3 Zn 0.5000 0.5000 0.0000  8 Ta 2.81-2.95, 4 Cd 2.95
4 Ta 0.0000 0.0000 0.0000  4 Zn 2.81, 4 Cd 2.95, 4 Ta 2.95

=====

two.
Ta2ZnCd | meta-GGA SCAN | PBEsol geometry

Values from the calculation:
Calculated volume ... 16.97 A^3/atom

Lattice parameters (Å, degrees): 2.7937 5.1754 5.1754 114.89 90.00 90.00
Closest atoms and distances in Å follow each position.
Sites, in units of the cell vectors:
1 Zn 0.5000 0.0000 0.0000  2 Cd 2.79, 2 Zn 2.79, 8 Ta 2.94
2 Cd 0.5000 0.5000 0.5000  2 Zn 2.79, 2 Cd 2.79, 8 Ta 2.94
3 Ta 0.0000 0.5000 0.0000  4 Ta 2.79, 4 Cd 2.94, 4 Zn 2.94
4 Ta 0.0000 0.0000 0.5000  4 Ta 2.79, 4 Zn 2.94, 4 Cd 2.94

=====

Most stable: two (next structure +13.1 kJ/mol of atoms)

=====

one.
ZrTaCd2 | meta-GGA SCAN | PBEsol geometry

Values from the calculation:
Calculated volume ... 19.72 A^3/atom

Lattice parameters (Å, degrees): 3.0379 4.1391 6.2735 90.00 90.00 90.00
Closest atoms and distances in Å follow each position.
Sites, in units of the cell vectors:
1 Zr 0.5000 0.5000 0.7365  4 Ta 2.94, 2 Zr 3.04, 6 Cd 3.05-3.22
2 Ta 0.0000 0.0000 0.5065  4 Zr 2.94, 6 Cd 3.03-3.14, 2 Ta 3.04
3 Cd 0.0000 0.0000 0.0072  6 Cd 2.98-3.04, 4 Zr 3.08, 2 Ta 3.13-3.14
4 Cd 0.5000 0.5000 0.2498  6 Cd 2.98-3.04, 4 Ta 3.03, 2 Zr 3.05-3.22

=====

two.
ZrTaCd2 | meta-GGA SCAN | PBEsol geometry

Values from the calculation:
Calculated volume ... 19.61 A^3/atom

Lattice parameters (Å, degrees): 2.9145 2.9145 9.2921 90.00 90.00 96.46
Closest atoms and distances in Å follow each position.
Sites, in units of the cell vectors:
1 Cd 0.5000 0.5000 0.7459  8 Cd 2.91-3.18, 4 Ta 2.99-3.15
2 Cd 0.0000 0.0000 0.9958  8 Cd 2.91-3.18, 4 Zr 3.11-3.26
3 Zr 0.5000 0.5000 0.2578  4 Zr 2.91, 4 Ta 2.98-3.13, 4 Cd 3.11-3.26
4 Ta 0.0000 0.0000 0.5005  4 Ta 2.91, 4 Zr 2.98-3.13, 4 Cd 2.99-3.15

=====

Most stable: two (next structure +11.8 kJ/mol of atoms)

=====

one.
TlCdTc2 | meta-GGA SCAN | PBEsol geometry

Values from the calculation:
Calculated volume ... 17.06 A^3/atom

Lattice parameters (Å, degrees): 3.1303 4.6647 4.6740 90.00 90.00 90.00
Closest atoms and distances in Å follow each position.
Sites, in units of the cell vectors:
1 Tc 0.0000 0.0000 0.0000  6 Tc 2.81-3.13, 4 Tl 2.81
2 Cd 0.0000 0.5000 0.5000  4 Tl 2.81, 4 Tc 2.81, 2 Cd 3.13
3 Tc 0.5000 0.5000 0.0000  6 Tc 2.81-3.13, 4 Cd 2.81
4 Tl 0.5000 0.0000 0.5000  4 Cd 2.81, 4 Tc 2.81, 2 Tl 3.13

=====

two.
TlCdTc2 | meta-GGA SCAN | PBEsol geometry

Values from the calculation:
Calculated volume ... 17.22 A^3/atom

Lattice parameters (Å, degrees): 2.8596 2.8596 8.4259 90.00 90.00 90.00
Closest atoms and distances in Å follow each position.
Sites, in units of the cell vectors:
1 Tc 0.0000 0.0000 0.2528  4 Tc 2.86, 4 Cd 2.90, 4 Tl 2.94
2 Tc 0.0000 0.0000 0.7472  4 Tc 2.86, 4 Cd 2.90, 4 Tl 2.94
3 Tl 0.5000 0.5000 0.0000  4 Tl 2.86, 8 Tc 2.94
4 Cd 0.5000 0.5000 0.5000  4 Cd 2.86, 8 Tc 2.90

=====

three.
TlCdTc2 | meta-GGA SCAN | PBEsol geometry

Values from the calculation:
Calculated volume ... 17.22 A^3/atom

Lattice parameters (Å, degrees): 2.9356 4.9408 5.0788 101.16 90.00 107.28
Closest atoms and distances in Å follow each position.
Sites, in units of the cell vectors:
1 Tl 0.0000 0.0000 0.5000  6 Tc 2.89-3.00, 4 Cd 2.93, 2 Tl 2.94
2 Tc 0.7486 0.4971 0.7803  4 Tc 2.67-2.94, 3 Cd 2.79-2.82, 2 Tl 2.89
3 Tc 0.2514 0.5029 0.2197  4 Tc 2.67-2.94, 3 Cd 2.79-2.82, 2 Tl 2.89
4 Cd 0.5000 0.0000 0.0000  6 Tc 2.79-2.82, 4 Tl 2.93, 2 Cd 2.94

=====

four.
TlCdTc2 | meta-GGA SCAN | PBEsol geometry

Values from the calculation:
Calculated volume ... 18.13 A^3/atom

Lattice parameters (Å, degrees): 2.9593 2.9593 8.2797 90.00 90.00 90.00
Closest atoms and distances in Å follow each position.
Sites, in units of the cell vectors:
1 Tl 0.0000 0.0000 0.4707  4 Tl 2.96, 4 Tc 3.04
2 Cd 0.5000 0.5000 0.7881  4 Tc 2.93, 4 Cd 2.96
3 Tc 0.0000 0.0000 0.0364  4 Tc 2.51
4 Tc 0.5000 0.5000 0.2048  4 Tc 2.51

=====

Most stable: four (next structure +45.8 kJ/mol of atoms)

=====

one.
TlCd2Tc | meta-GGA SCAN | PBEsol geometry

Values from the calculation:
Calculated volume ... 19.32 A^3/atom

Lattice parameters (Å, degrees): 3.1484 4.1698 5.8865 90.00 90.00 90.00
Closest atoms and distances in Å follow each position.
Sites, in units of the cell vectors:
1 Tc 0.5000 0.5000 0.0000  8 Cd 2.94, 2 Tl 2.94, 2 Tc 3.15
2 Cd 0.0000 0.0000 0.7717  1 Cd 2.69, 4 Tc 2.94
3 Tl 0.5000 0.5000 0.5000  2 Tc 2.94, 8 Cd 3.06, 2 Tl 3.15
4 Cd 0.0000 0.0000 0.2283  1 Cd 2.69, 4 Tc 2.94

=====

two.
TlCd2Tc | meta-GGA SCAN | PBEsol geometry

Values from the calculation:
Calculated volume ... 19.62 A^3/atom

Lattice parameters (Å, degrees): 4.8054 4.8054 4.8054 60.00 60.00 60.00
Closest atoms and distances in Å follow each position.
Sites, in units of the cell vectors:
1 Tc 0.0000 0.0000 0.0000  8 Cd 2.94
2 Tl 0.5000 0.5000 0.5000  8 Cd 2.94
3 Cd 0.2500 0.2500 0.2500  4 Tl 2.94, 4 Tc 2.94
4 Cd 0.7500 0.7500 0.7500  4 Tl 2.94, 4 Tc 2.94

=====

Most stable: one (next structure +30.4 kJ/mol of atoms)

=====

one.
ZnCdTc2 | meta-GGA SCAN | PBEsol geometry

Values from the calculation:
Calculated volume ... 15.33 A^3/atom

Lattice parameters (Å, degrees): 2.7772 2.7772 9.3184 81.43 81.43 60.00
Closest atoms and distances in Å follow each position.
Sites, in units of the cell vectors:
1 Zn 0.4933 0.4933 0.5202  3 Tc 2.71, 6 Zn 2.78, 3 Cd 2.98
2 Cd 0.2512 0.2512 0.2464  6 Cd 2.78, 3 Tc 2.96, 3 Zn 2.98
3 Tc 0.0083 0.0083 0.9750  9 Tc 2.55-2.78
4 Tc 0.7472 0.7472 0.7584  9 Tc 2.55-2.78, 3 Zn 2.71

=====

two.
ZnCdTc2 | meta-GGA SCAN | PBEsol geometry

Values from the calculation:
Calculated volume ... 15.03 A^3/atom

Lattice parameters (Å, degrees): 2.7517 2.7517 9.3056 81.50 81.50 60.00
Closest atoms and distances in Å follow each position.
Sites, in units of the cell vectors:
1 Tc 0.2453 0.2453 0.2642  3 Zn 2.68, 6 Tc 2.75, 3 Cd 2.90
2 Zn 0.5000 0.5000 0.5000  6 Tc 2.68, 6 Zn 2.75
3 Cd 0.0000 0.0000 0.0000  6 Cd 2.75, 6 Tc 2.90
4 Tc 0.7547 0.7547 0.7358  3 Zn 2.68, 6 Tc 2.75, 3 Cd 2.90

=====

three.
ZnCdTc2 | meta-GGA SCAN | PBEsol geometry

Values from the calculation:
Calculated volume ... 15.36 A^3/atom

Lattice parameters (Å, degrees): 2.9342 2.9342 7.1346 90.00 90.00 90.00
Closest atoms and distances in Å follow each position.
Sites, in units of the cell vectors:
1 Tc 0.0000 0.0000 0.0373  4 Tc 2.52
2 Cd 0.5000 0.5000 0.7487  4 Zn 2.84, 4 Tc 2.92, 4 Cd 2.93
3 Tc 0.5000 0.5000 0.2381  4 Tc 2.52, 4 Zn 2.68
4 Zn 0.0000 0.0000 0.4759  4 Tc 2.68, 4 Cd 2.84, 4 Zn 2.93

=====

four.
ZnCdTc2 | meta-GGA SCAN | PBEsol geometry

Values from the calculation:
Calculated volume ... 14.87 A^3/atom

Lattice parameters (Å, degrees): 4.3815 4.3815 4.3815 60.00 60.00 60.00
Closest atoms and distances in Å follow each position.
Sites, in units of the cell vectors:
1 Zn 0.5000 0.5000 0.5000  8 Tc 2.68
2 Cd 0.0000 0.0000 0.0000  8 Tc 2.68
3 Tc 0.2500 0.2500 0.2500  4 Cd 2.68, 4 Zn 2.68
4 Tc 0.7500 0.7500 0.7500  4 Zn 2.68, 4 Cd 2.68

=====

Most stable: three (next structure +5.0 kJ/mol of atoms)

=====

one.
ZnCdTc2 | meta-GGA SCAN | PBEsol geometry

Values from the calculation:
Calculated volume ... 15.07 A^3/atom

Lattice parameters (Å, degrees): 2.6488 4.4738 5.2228 90.00 103.10 90.00
Closest atoms and distances in Å follow each position.
Sites, in units of the cell vectors:
1 Tc 0.7458 0.0000 0.7651  4 Tc 2.52-2.78, 2 Zn 2.70, 2 Cd 2.79
2 Cd 0.0000 0.5000 0.5000  2 Zn 2.65, 2 Cd 2.65, 4 Tc 2.79
3 Zn 0.5000 0.5000 0.0000  2 Cd 2.65, 2 Zn 2.65, 4 Tc 2.70
4 Tc 0.2542 0.0000 0.2349  4 Tc 2.52-2.78, 2 Zn 2.70, 2 Cd 2.79

=====

two.
ZnCdTc2 | meta-GGA SCAN | PBEsol geometry

Values from the calculation:
Calculated volume ... 15.10 A^3/atom

Lattice parameters (Å, degrees): 2.7595 4.6114 5.0131 96.88 90.00 107.41
Closest atoms and distances in Å follow each position.
Sites, in units of the cell vectors:
1 Zn 0.5036 0.0072 0.4964  3 Cd 2.57-2.74, 5 Tc 2.70-2.79, 2 Zn 2.76
2 Tc 0.2482 0.4964 0.7744  5 Tc 2.49-2.76, 3 Zn 2.78-2.79
3 Cd 0.7503 0.5007 0.2705  3 Zn 2.57-2.74, 2 Cd 2.76, 3 Tc 2.84
4 Tc 0.9979 0.9957 0.9588  5 Tc 2.49-2.76, 2 Zn 2.70

=====

Most stable: two (next structure +9.0 kJ/mol of atoms)